No. 1
Density functional theory data (PBE-GGA) for an optimized crystal structure of DyNpPd.

a b c (Å): 4.8140 4.8140 4.8140
angles (deg): 60.00 60.00 60.00
Site moments in Bohr magnetons follow the coordinates.
Positions (direct):
Dy  0.2500  0.2500  0.2500  0.44
Np  0.7500  0.7500  0.7500  4.24
Pd  0.0000  0.0000  0.0000  -0.01

## Properties
Total moment, μB per formula unit: 5.24
Crystal system: cubic
Energy above the most stable polymorph in this dataset, eV per atom: 0.000
Calculated volume, Å³ per cell: 79

No. 2
Density functional theory data (PBE-GGA) for an optimized crystal structure of MgScBPd.

a b c (Å): 4.3246 4.3246 4.3246
angles (deg): 60.00 60.00 60.00
Positions (direct):
B  0.5000  0.5000  0.5000
Mg  0.7500  0.7500  0.7500
Pd  0.2500  0.2500  0.2500
Sc  0.0000  0.0000  0.0000

## Properties
Total moment, μB per formula unit: 0.00
Crystal system: cubic
Energy above the most stable polymorph in this dataset, eV per atom: 0.205
Calculated volume, Å³ per cell: 57

No. 3
Density functional theory data (PBE-GGA) for an optimized crystal structure of TcTePd.

a b c (Å): 4.3764 4.3764 4.3764
angles (deg): 60.00 60.00 60.00
Positions (direct):
Pd  0.2500  0.2500  0.2500
Tc  0.0000  0.0000  0.0000
Te  0.7500  0.7500  0.7500

## Properties
Total moment, μB per formula unit: 0.01
Crystal system: cubic
Energy above the most stable polymorph in this dataset, eV per atom: 0.000
Calculated volume, Å³ per cell: 59

No. 4
Density functional theory data (PBE-GGA) for an optimized crystal structure of HfZr2Ni4P4.

a b c (Å): 6.2564 3.6948 7.0485
angles (deg): 90.00 90.90 90.00
Positions (direct):
Hf  0.9800  0.0000  0.8305
Ni  0.3634  0.0000  0.0593
Ni  0.8617  0.0000  0.4365
Ni  0.1394  0.5000  0.5495
Ni  0.6466  0.5000  0.9393
P  0.7500  0.0000  0.1221
P  0.2210  0.0000  0.3665
P  0.7754  0.5000  0.6209
P  0.2667  0.5000  0.8880
Zr  0.5205  0.5000  0.3098
Zr  0.4732  0.0000  0.6803

## Properties
Total moment, μB per formula unit: 0.00
Crystal system: monoclinic
Energy above the most stable polymorph in this dataset, eV per atom: 0.000
Calculated volume, Å³ per cell: 163

- Which of these has the highest energy above the most stable polymorph in this dataset?
  MgScBPd

- What is the formula in the first record?
  DyNpPd